1.
Crystalline FeTeCl2 at its relaxed geometry, computed with PBE.

Structure (extended XYZ):
```
4
Lattice="-4.010 1.531 2.891 -3.117 -0.403 -4.111 -0.622 -3.091 0.774" Properties=species:S:1:pos:R:3 pbc="T T T"
Te -1.870 -1.747 -1.669
Fe -2.316 -0.780 1.832
Cl 0.000 0.000 0.000
Cl -3.564 0.564 -0.610
```

---

2.
Crystalline FeTe2Cl at its relaxed geometry, computed with PBE.

Structure (extended XYZ):
```
4
Lattice="3.095 0.000 0.000 0.000 3.095 0.000 0.000 0.000 11.368" Properties=species:S:1:pos:R:3 pbc="T T T"
Te 0.000 0.000 10.331
Te 1.548 1.548 2.833
Fe 1.548 1.548 8.335
Cl 0.000 0.000 6.921
```

---

3.
Crystalline FeTeCl2 at its relaxed geometry, computed with PBE.

Structure (extended XYZ):
```
4
Lattice="-2.112 -0.402 -2.402 -4.362 -0.404 3.903 -0.615 4.532 -0.217" Properties=species:S:1:pos:R:3 pbc="T T T"
Te -2.488 2.064 1.843
Fe -1.363 2.065 -1.310
Cl 0.000 0.000 0.000
Cl -3.237 -0.403 0.751
```

---

4.
Crystalline FeTe2Cl at its relaxed geometry, computed with PBE.

Structure (extended XYZ):
```
4
Lattice="-0.203 5.349 9.957 -0.434 2.220 11.076 2.555 3.540 10.428" Properties=species:S:1:pos:R:3 pbc="T T T"
Te 0.058 0.334 0.944
Te 0.489 2.832 8.020
Fe 1.445 8.363 23.682
Cl 0.887 5.136 14.545
```

---

5.
Crystalline FeTe2Cl at its relaxed geometry, computed with PBE.

Structure (extended XYZ):
```
4
Lattice="-5.039 -2.841 -0.889 4.749 -2.966 1.703 -0.801 0.468 3.047" Properties=species:S:1:pos:R:3 pbc="T T T"
Te 0.000 0.000 0.000
Te -0.145 -2.903 0.407
Fe 1.974 -1.249 2.375
Cl -2.920 -1.187 1.079
```

---

6.
Crystalline FeTeCl at its relaxed geometry, computed with PBE.

Structure (extended XYZ):
```
3
Lattice="3.490 0.000 0.000 -1.745 3.023 0.000 0.000 0.000 7.155" Properties=species:S:1:pos:R:3 pbc="T T T"
Te 0.000 2.015 4.054
Fe 1.745 1.008 2.253
Cl 0.000 0.000 0.848
```

---

Formation energy from raw total energies: 2.170 0.124 0.993 -0.332 2.134 -0.836 (eV/f.u.)